Nd2Y2Zn PBE-GGA optimized geometry; total moment = 0.001 μB per formula unit; relative energy among the computed polymorphs = 0.000 eV per atom; formation enthalpy at 0 K = -135 meV per atom
1.0
-1.5212 2.6419 1.9289
-2.3572 -2.3603 1.3738
9.1380 -2.3024 6.9865
Nd Y Zn
2 2 1
Cartesian
2.4904 -1.1892 6.9664
2.7692 -0.8315 3.3228
-0.8371 -0.1901 2.9738
6.0967 -1.8307 7.3154
0.0000 0.0000 0.0000

LaYCuSi PBE-GGA optimized geometry; formation energy (no corrections) = -0.399 eV per atom; total moment = 0.000 μB per formula unit
1.0
-1.3109 -2.6522 4.1344
2.8630 -3.9160 1.5214
2.7716 0.3756 4.2454
Y Si La Cu
1 1 1 1
Cartesian
2.1619 -3.0963 4.9506
3.2428 -4.6445 7.4260
0.0000 0.0000 0.0000
1.0809 -1.5482 2.4753

Question: total moment of number 2 (LaYCuSi)?
Answer: 0.000 μB per formula unit

Question: Which of these has the lowest total moment?
Answer: LaYCuSi

Question: total moment of number 1 (Nd2Y2Zn)?
Answer: 0.001 μB per formula unit